The following is a GGA+U calculation of a relaxed structure of CdFeCuF6, from Alexandria via LeMat-Bulk.

Cell: 4.891 4.891 10.107 Å, 90.00 90.00 90.00°
Last column: magnetic moment on the atom in μB.
Fractional positions:
F: 0.795 0.205 0.488  0.06
F: 0.318 0.318 0.673  0.05
F: 0.818 0.182 0.173  0.05
F: 0.790 0.210 0.840  0.05
F: 0.210 0.790 0.840  0.05
F: 0.705 0.705 0.988  0.06
F: 0.710 0.710 0.340  0.05
F: 0.682 0.682 0.673  0.05
F: 0.205 0.795 0.488  0.06
F: 0.290 0.290 0.340  0.05
F: 0.182 0.818 0.173  0.05
F: 0.295 0.295 0.988  0.06
Cu: 0.500 0.500 0.498  0.56
Cu: 0.000 0.000 0.998  0.56
Cd: 0.500 0.500 0.166  0.01
Cd: 0.000 0.000 0.666  0.01
Fe: 0.500 0.500 0.834  4.06
Fe: 0.000 0.000 0.334  4.06

Properties
V, A^3/atom: 13.4
Total energy, eV/f.u.: -40.21
ρ, Mg/m³: 4.75